Below is BaHg2Bi6 after structural relaxation, with properties calculated at the PBE level.

Density of states at the Fermi level ... 0.248 states/eV/atom
E_form ... -1.1 eV per formula unit
SG ... C2/m, No. 12
Crystal system ... monoclinic
Raw total energy ... -3.00 eV/atom
Total magnetization ... 0.000 μB/atom

Structure (POSCAR):
```
BaHg2Bi6
1.0
3.4749 -0.0050 -0.0047
1.7151 9.4718 0.9927
1.7151 1.4069 9.4192
Ba Hg Bi
1 2 6
Cartesian
3.4749 -0.0049 -0.0047
3.4043 3.9462 3.7769
3.5006 6.9275 6.6303
1.7319 0.9370 3.1369
5.1731 9.9368 7.2702
5.1731 7.6988 9.6086
3.4525 3.7124 7.0054
3.4525 7.1614 3.4018
1.7319 3.1750 0.7986
```